Density functional theory data (GGA-PBE) for a geometry-optimized NdSm3Ir structure.

Calculated values
Symmetry: P2_1/m (11)
ρ in Mg/m³: 8.46
Total magnetic moment in μB per formula unit: 0.00
Energy of formation from the pure elements in kJ/mol of formula units: -132

abc: 4.971 6.708 9.980
angles: 90.00 90.00 111.75
Fractional positions:
Sm (0.134, 0.268, 0.500)
Sm (0.366, 0.733, 0.250)
Sm (0.634, 0.267, 0.750)
Sm (0.866, 0.732, 0.000)
Sm (0.866, 0.732, 0.500)
Sm (0.134, 0.268, 0.000)
Nd (0.639, 0.276, 0.250)
Nd (0.361, 0.724, 0.750)
Ir (0.999, 0.997, 0.250)
Ir (0.001, 0.003, 0.750)